Density functional theory data (PBE) for a geometry-optimized NaAsSe structure.

Computed properties:
offset from the most stable computed form: 0.044 eV per atom
space-group type: P-1, No. 2

Cell: 4.0082 5.5072 9.0532 Å, 65.44 90.07 68.83°
Closest atoms and distances in Å follow each position.
Fractional coordinates of all 6 atoms:
Se1 0.9385 0.5692 0.2397  1 As 2.42
Se2 0.2520 0.9394 0.5828  1 As 2.42
Na1 0.5200 0.4062 0.5379  5 Se 2.94-3.16
Na2 0.6707 0.1023 0.2848  5 Se 2.94-3.16
As1 0.7845 0.8765 0.9455  1 Se 2.42, 2 As 2.58
As2 0.4055 0.6321 0.8770  1 Se 2.42, 2 As 2.58


Density functional theory data (PBE) for a geometry-optimized Na2As2Se5 structure.

Computed properties:
offset from the most stable computed form: 0.007 eV per atom
space-group type: P-1, No. 2

Cell: 4.6568 7.8127 9.4130 Å, 112.23 111.78 108.87°
Closest atoms and distances in Å follow each position.
Fractional coordinates of all 9 atoms:
Se1 0.0000 0.0000 0.0000  2 As 2.68
Se2 0.1507 0.7967 0.5196  1 As 2.38
Se3 0.6855 0.3580 0.8698  1 Se 2.42, 1 As 2.49
Se4 0.3145 0.6420 0.1302  1 Se 2.42, 1 As 2.49
Se5 0.8493 0.2033 0.4804  1 As 2.38
Na1 0.8219 0.3125 0.1989  6 Se 3.03-3.29
Na2 0.1781 0.6875 0.8011  6 Se 3.03-3.29
As1 0.7920 0.0641 0.7285  2 Se 2.38-2.49
As2 0.2080 0.9359 0.2715  2 Se 2.38-2.49


Density functional theory data (PBE) for a geometry-optimized NaAsSe2 structure.

Computed properties:
space-group type: R3m, No. 160

Cell: 3.9297 3.9297 7.5144 Å, 74.84 74.84 60.00°
Closest atoms and distances in Å follow each position.
Fractional coordinates of all 4 atoms:
Se1 0.0715 0.0715 0.7856  3 As 2.74, 3 Na 3.04
Se2 0.2624 0.2624 0.2129  3 As 2.74
Na1 0.4992 0.4992 0.5025  6 Se 3.04-3.07
As1 0.6670 0.6670 0.9990  6 Se 2.74


Density functional theory data (PBE) for a geometry-optimized Na2AsSe4 structure.

Computed properties:
space-group type: C2/m, No. 12

Cell: 3.9456 7.6394 8.4198 Å, 135.80 103.55 90.00°
Closest atoms and distances in Å follow each position.
Fractional coordinates of all 7 atoms:
As1 0.0000 0.0000 0.0000  6 Se 2.71-2.74
Se1 0.3334 0.7115 0.6668  2 As 2.71, 1 Na 2.96, 2 Se 2.96
Se2 0.6666 0.2885 0.3332  2 As 2.71, 1 Na 2.96, 2 Se 2.96
Se3 0.0497 0.7265 0.0993  1 Se 2.51, 1 As 2.74
Se4 0.9503 0.2735 0.9007  1 Se 2.51, 1 As 2.74
Na1 0.6720 0.6845 0.3440  8 Se 2.96-3.28
Na2 0.3280 0.3155 0.6560  8 Se 2.96-3.28


Density functional theory data (PBE) for a geometry-optimized NaAsSe2 structure.

Computed properties:
space-group type: Pna2_1, No. 33

Cell: 5.7708 10.0233 8.6493 Å, 90.00 90.00 90.00°
Closest atoms and distances in Å follow each position.
Fractional coordinates of all 16 atoms:
As1 0.4657 0.4470 0.1288  3 Se 2.36-2.53
As2 0.9657 0.0530 0.6288  3 Se 2.36-2.53
As3 0.9657 0.5530 0.8712  3 Se 2.36-2.53
As4 0.4657 0.9470 0.3712  3 Se 2.36-2.53
Na1 0.9548 0.0970 0.1050  5 Se 2.92-3.18
Na2 0.4548 0.9030 0.8950  5 Se 2.92-3.18
Na3 0.4548 0.4030 0.6050  5 Se 2.92-3.18
Na4 0.9548 0.5970 0.3950  5 Se 2.92-3.18
Se1 0.9560 0.9015 0.8373  1 As 2.36
Se2 0.8965 0.4079 0.1018  2 As 2.50-2.53
Se3 0.9560 0.4015 0.6627  1 As 2.36
Se4 0.4560 0.0985 0.1627  1 As 2.36
Se5 0.3965 0.5921 0.8982  2 As 2.50-2.53
Se6 0.3965 0.0921 0.6018  2 As 2.50-2.53
Se7 0.4560 0.5985 0.3373  1 As 2.36
Se8 0.8965 0.9079 0.3982  2 As 2.50-2.53


Density functional theory data (PBE) for a geometry-optimized Na3AsSe3 structure.

Computed properties:
space-group type: Pnma, No. 62

Cell: 4.9546 11.4755 13.0328 Å, 90.00 90.00 90.00°
Closest atoms and distances in Å follow each position.
Fractional coordinates of all 28 atoms:
Se1 0.2500 0.1149 0.6161  1 As 2.50
Se2 0.2500 0.2516 0.8815  1 As 2.43
Se3 0.2500 0.6149 0.8839  1 As 2.50
Se4 0.7500 0.8851 0.3839  1 As 2.50
Se5 0.7500 0.7484 0.1185  1 As 2.43
Se6 0.7500 0.3851 0.1161  1 As 2.50
Se7 0.7500 0.4839 0.6602  2 As 2.67, 2 Na 2.93-2.95
Se8 0.2500 0.5161 0.3398  2 As 2.67, 2 Na 2.93-2.95
Se9 0.2500 0.0161 0.1602  2 As 2.67, 2 Na 2.93-2.95
Se10 0.7500 0.2484 0.3815  1 As 2.43
Se11 0.7500 0.9839 0.8398  2 As 2.67, 2 Na 2.93-2.95
Se12 0.2500 0.7516 0.6185  1 As 2.43
As1 0.7500 0.9396 0.1979  4 Se 2.43-2.67
As2 0.7500 0.4396 0.3021  4 Se 2.43-2.67
As3 0.2500 0.5604 0.6979  4 Se 2.43-2.67
As4 0.2500 0.0604 0.8021  4 Se 2.43-2.67
Na1 0.7500 0.2342 0.7136  3 Se 2.95-3.10
Na2 0.7500 0.1547 0.0072  4 Se 2.93-3.17
Na3 0.2500 0.5439 0.1064  4 Se 3.01-3.08
Na4 0.2500 0.8453 0.9928  4 Se 2.93-3.17
Na5 0.2500 0.2658 0.2136  3 Se 2.95-3.10
Na6 0.7500 0.7342 0.7864  3 Se 2.95-3.10
Na7 0.2500 0.0439 0.3936  4 Se 3.01-3.08
Na8 0.7500 0.6547 0.4928  4 Se 2.93-3.17
Na9 0.2500 0.3453 0.5072  4 Se 2.93-3.17
Na10 0.2500 0.7658 0.2864  3 Se 2.95-3.10
Na11 0.7500 0.9561 0.6064  4 Se 3.01-3.08
Na12 0.7500 0.4561 0.8936  4 Se 3.01-3.08


Density functional theory data (PBE) for a geometry-optimized Na3AsSe3 structure.

Computed properties:
space-group type: Cmcm, No. 63

Cell: 5.8636 9.6550 9.6550 Å, 119.93 90.00 90.00°
Closest atoms and distances in Å follow each position.
Fractional coordinates of all 14 atoms:
Na1 0.7500 0.8326 0.6649  4 Se 2.95
Na2 0.2500 0.1676 0.8332  4 Se 2.95
Na3 0.7500 0.3351 0.1682  4 Se 2.95-2.96
Na4 0.2500 0.1674 0.3351  4 Se 2.95
Na5 0.7500 0.8324 0.1668  4 Se 2.95
Na6 0.2500 0.6649 0.8318  4 Se 2.95-2.96
Se1 0.2500 0.3693 0.1848  1 As 2.49
Se2 0.2500 0.8159 0.6307  1 As 2.49
Se3 0.2500 0.8155 0.1838  1 As 2.49
Se4 0.7500 0.6307 0.8152  1 As 2.49
Se5 0.7500 0.1841 0.3693  1 As 2.49
Se6 0.7500 0.1845 0.8162  1 As 2.49
As1 0.2500 0.6669 0.3331  3 Se 2.49
As2 0.7500 0.3331 0.6669  3 Se 2.49


Density functional theory data (PBE) for a geometry-optimized NaAsSe3 structure.

Computed properties:
offset from the most stable computed form: 0.335 eV per atom
space-group type: Pm-3m, No. 221

Cell: 5.1330 5.1330 5.1330 Å, 90.00 90.00 90.00°
Closest atoms and distances in Å follow each position.
Fractional coordinates of all 5 atoms:
Se1 0.5000 0.0000 0.0000  2 As 2.57
Se2 0.0000 0.5000 0.0000  2 As 2.57
Se3 0.0000 0.0000 0.5000  2 As 2.57
Na1 0.5000 0.5000 0.5000  12 Se 3.63
As1 0.0000 0.0000 0.0000  6 Se 2.57


Number 1: raw formation energy -538 meV/atom, VASP energy -11.07 eV per formula unit. Number 2: raw formation energy -408 meV/atom, VASP energy -33.03 eV per formula unit. Number 3: raw formation energy -501 meV/atom, VASP energy -14.94 eV per formula unit. Number 4: raw formation energy -417 meV/atom, VASP energy -24.14 eV per formula unit. Number 5: raw formation energy -512 meV/atom, VASP energy -14.99 eV per formula unit. Number 6: raw formation energy -746 meV/atom, VASP energy -24.29 eV per formula unit. Number 7: raw formation energy -563 meV/atom, VASP energy -23.00 eV per formula unit. Number 8: raw formation energy -39 meV/atom, VASP energy -16.62 eV per formula unit.